No. 1
The following is a DFT calculation (GGA-PBE) of a geometry-optimized Ru3RhAu structure.

Calculated values
distance to the lowest polymorph of the same formula: 0.000 eV/atom
total DFT energy (no corrections): -29.3 eV/cell
SG: Pm-3m
formation enthalpy at 0 K: 9.186 eV/f.u.
DOS(E_F): 1.7900 states/eV per atom

Cell lengths 4.661, 4.661, 4.661 Å; angles 90.00, 90.00, 90.00 degrees
Element x y z (fractional)
Rh  0.000  0.000  0.000
Au  0.500  0.500  0.500
Ru  0.000  0.500  0.000
Ru  0.000  0.000  0.500
Ru  0.500  0.000  0.000


No. 2
The following is a DFT calculation (GGA-PBE) of a geometry-optimized CeDyIr structure.

Calculated values
distance to the lowest polymorph of the same formula: 0.000 eV/atom
total DFT energy (no corrections): -42.1 eV/cell
SG: P2_1/m
formation enthalpy at 0 K: -1.650 eV/f.u.
DOS(E_F): 1.3996 states/eV per atom

Cell lengths 4.048, 4.853, 7.527 Å; angles 88.00, 90.00, 90.00 degrees
Element x y z (fractional)
Ce  0.023  0.375  0.006
Ce  0.523  0.801  0.041
Dy  0.023  0.846  0.650
Dy  0.523  0.330  0.397
Ir  0.523  0.250  0.770
Ir  0.023  0.926  0.277


No. 3
The following is a DFT calculation (GGA-PBE) of a geometry-optimized AlIn2PbN structure.

Calculated values
total DFT energy (no corrections): -15.6 eV/cell
SG: P4/mmm
DOS(E_F): 0.5055 states/eV per atom
energy relative to the elements, uncorrected: 546.4 kJ/mol of formula units

Cell lengths 6.024, 4.208, 6.024 Å; angles 90.00, 90.00, 90.00 degrees
Element x y z (fractional)
Pb  0.000  0.000  0.000
N  0.000  0.500  0.000
Al  0.500  0.500  0.500
In  0.000  0.000  0.500
In  0.500  0.000  0.000